Compound: Sr2ErPuS4
Source: the Alexandria database
Functional: GGA-PBE
Structure: relaxed

Summary:
The total energy is -6.80 eV/atom. For the calculated volume, the calculation gives 193 Å³/cell.

The structure in CIF format:
```
data_Sr2ErPuS4
_chemical_formula_sum 'Sr2 Er1 Pu1 S4'
_space_group_name_H-M_alt 'P 1 2/m 1'
_space_group_IT_number 10
_cell_length_a 7.034
_cell_length_b 4.057
_cell_length_c 7.168
_cell_angle_alpha 90.00
_cell_angle_beta 109.14
_cell_angle_gamma 90.00
loop_
_space_group_symop_operation_xyz
'x,y,z'
'-x,-y,-z'
'-x,y,-z'
'x,-y,z'
loop_
_atom_site_label
_atom_site_type_symbol
_atom_site_fract_x
_atom_site_fract_y
_atom_site_fract_z
Sr1 Sr 0.000 0.000 0.000
Sr2 Sr 0.500 0.500 0.000
Er1 Er 0.000 0.500 0.500
Pu1 Pu 0.500 0.000 0.500
S1 S 0.236 0.000 0.728
S2 S 0.252 0.500 0.270
```



Compound: Tb3ErPu3S8
Source: the Alexandria database
Functional: GGA-PBE
Structure: relaxed

Summary:
The total energy is -8.25 eV/atom. For the calculated volume, the calculation gives 1035 Å³/cell.

The structure in CIF format:
```
data_Tb3ErPu3S8
_chemical_formula_sum 'Tb9 Er3 Pu9 S24'
_space_group_name_H-M_alt 'R -3 m'
_space_group_IT_number 166
_space_group_name_Hall '-R 3 2"'
_cell_length_a 7.8712
_cell_length_b 7.8712
_cell_length_c 19.2915
_cell_angle_alpha 90.00
_cell_angle_beta 90.00
_cell_angle_gamma 120.00
loop_
_atom_site_label
_atom_site_type_symbol
_atom_site_fract_x
_atom_site_fract_y
_atom_site_fract_z
Tb1 Tb 0.0000 0.5000 0.0000
Er1 Er 0.0000 0.0000 0.0000
Pu1 Pu 0.0000 0.5000 0.5000
S1 S 0.0000 0.0000 0.2501
S2 S 0.0037 0.5018 0.7480
```



Compound: Tb2Er3PuS6
Source: the Alexandria database
Functional: GGA-PBE
Structure: relaxed

Summary:
The total energy is -7.14 eV/atom. For the calculated volume, the calculation gives 503 Å³/cell.

The structure in CIF format:
```
data_Tb2Er3PuS6
_chemical_formula_sum 'Tb4 Er6 Pu2 S12'
_space_group_name_H-M_alt 'C 1 2/m 1'
_space_group_IT_number 12
_cell_length_a 17.013
_cell_length_b 3.880
_cell_length_c 7.834
_cell_angle_alpha 90.00
_cell_angle_beta 103.49
_cell_angle_gamma 90.00
loop_
_space_group_symop_operation_xyz
'x,y,z'
'-x,-y,-z'
'-x,y,-z'
'x,-y,z'
'x+1/2,y+1/2,z'
'-x+1/2,-y+1/2,-z'
'-x+1/2,y+1/2,-z'
'x+1/2,-y+1/2,z'
loop_
_atom_site_label
_atom_site_type_symbol
_atom_site_fract_x
_atom_site_fract_y
_atom_site_fract_z
Tb1 Tb 0.164 0.000 0.329
Er1 Er 0.000 0.500 0.500
Er2 Er 0.166 0.000 0.836
Pu1 Pu 0.000 0.500 0.000
S1 S 0.002 0.000 0.745
S2 S 0.166 0.500 0.587
S3 S 0.169 0.500 0.081
```



Compound: Tb2ErPu3S6
Source: the Alexandria database
Functional: GGA-PBE
Structure: relaxed

Summary:
The total energy is -7.91 eV/atom. For the calculated volume, the calculation gives 680 Å³/cell.

The structure in CIF format:
```
data_Tb2ErPu3S6
_chemical_formula_sum 'Tb4 Er2 Pu6 S12'
_space_group_name_H-M_alt 'C 1 2/m 1'
_space_group_IT_number 12
_cell_length_a 27.865
_cell_length_b 3.895
_cell_length_c 6.345
_cell_angle_alpha 90.00
_cell_angle_beta 98.94
_cell_angle_gamma 90.00
loop_
_space_group_symop_operation_xyz
'x,y,z'
'-x,-y,-z'
'-x,y,-z'
'x,-y,z'
'x+1/2,y+1/2,z'
'-x+1/2,-y+1/2,-z'
'-x+1/2,y+1/2,-z'
'x+1/2,-y+1/2,z'
loop_
_atom_site_label
_atom_site_type_symbol
_atom_site_fract_x
_atom_site_fract_y
_atom_site_fract_z
Tb1 Tb 0.193 0.000 0.028
Er1 Er 0.000 0.000 0.500
Pu1 Pu 0.000 0.000 0.000
Pu2 Pu 0.066 0.500 0.074
S1 S 0.082 0.000 0.787
S2 S 0.151 0.500 0.262
S3 S 0.216 0.500 0.778
```



Compound: Er3PuTh4S8
Source: the Alexandria database
Functional: GGA-PBE
Structure: relaxed

Summary:
The total energy is -7.55 eV/atom. For the calculated volume, the calculation gives 1056 Å³/cell.

The structure in CIF format:
```
data_Er3PuTh4S8
_chemical_formula_sum 'Er9 Pu3 Th12 S24'
_space_group_name_H-M_alt 'R -3 m'
_space_group_IT_number 166
_space_group_name_Hall '-R 3 2"'
_cell_length_a 7.7998
_cell_length_b 7.7998
_cell_length_c 20.0439
_cell_angle_alpha 90.00
_cell_angle_beta 90.00
_cell_angle_gamma 120.00
loop_
_atom_site_label
_atom_site_type_symbol
_atom_site_fract_x
_atom_site_fract_y
_atom_site_fract_z
Er1 Er 0.0000 0.5000 0.0000
Pu1 Pu 0.0000 0.0000 0.0000
Th1 Th 0.0000 0.0000 0.5000
Th2 Th 0.0000 0.5000 0.5000
S1 S 0.0000 0.0000 0.2564
S2 S 0.0037 0.5018 0.2556
```



Compound: ErPuTh2S4
Source: the Alexandria database
Functional: GGA-PBE
Structure: relaxed

Summary:
The total energy is -8.14 eV/atom. For the calculated volume, the calculation gives 177 Å³/cell.

The structure in CIF format:
```
data_ErPuTh2S4
_chemical_formula_sum 'Er1 Pu1 Th2 S4'
_space_group_name_H-M_alt 'P 1 2/m 1'
_space_group_IT_number 10
_cell_length_a 6.805
_cell_length_b 3.932
_cell_length_c 7.011
_cell_angle_alpha 90.00
_cell_angle_beta 108.92
_cell_angle_gamma 90.00
loop_
_space_group_symop_operation_xyz
'x,y,z'
'-x,-y,-z'
'-x,y,-z'
'x,-y,z'
loop_
_atom_site_label
_atom_site_type_symbol
_atom_site_fract_x
_atom_site_fract_y
_atom_site_fract_z
Er1 Er 0.000 0.000 0.000
Pu1 Pu 0.500 0.500 0.000
Th1 Th 0.000 0.500 0.500
Th2 Th 0.500 0.000 0.500
S1 S 0.241 0.500 0.234
S2 S 0.252 0.000 0.765
```



Raw formation energy for the records above, in order: -1.951, -1.947, -1.967, -1.110, -1.881, -1.859 eV per atom